Record 1
Computed, not measured: crystalline Na2LiTbCl6 at its relaxed geometry at the GGA-PBE level of DFT.

Output
relative energy among the computed polymorphs: 0 meV/atom
raw total energy: -4.02 eV/atom
V: 25.48 Å³ per atom
uncorrected formation energy: -1.993 eV/atom

abc: 6.9156 6.9169 7.3289
angles: 118.11 90.02 119.97
With the nearest neighbours (Å) after each atom.
Space group P1 (No. 1)
One atom of each set of equivalent atoms:
Na  0.0000  0.0000  0.0000 [1 per cell]  6 Cl 2.81-2.89
Na  0.4948  0.9895  0.4848 [1 per cell]  6 Cl 2.78-2.95
Li  0.2095  0.4188  0.6269 [1 per cell]  6 Cl 2.54-2.84
Tb  0.6975  0.3953  0.0930 [1 per cell]  6 Cl 2.64-2.70
Cl  0.0712  0.4995  0.3204 [1 per cell]  1 Tb 2.64, 2 Na 2.78-2.89, 1 Li 2.83
Cl  0.3196  0.2463  0.8195 [1 per cell]  1 Li 2.55, 1 Tb 2.70, 1 Na 2.81
Cl  0.4283  0.2488  0.3204 [1 per cell]  1 Tb 2.64, 2 Na 2.78-2.89, 1 Li 2.83
Cl  0.5733  0.8932  0.8197 [1 per cell]  1 Li 2.54, 1 Tb 2.70, 1 Na 2.81
Cl  0.8202  0.8914  0.3201 [1 per cell]  1 Tb 2.64, 2 Na 2.78-2.89, 1 Li 2.84
Cl  0.9266  0.4998  0.8195 [1 per cell]  1 Li 2.55, 1 Tb 2.70, 1 Na 2.81


Record 2
Computed, not measured: crystalline BaGa2Cl at its relaxed geometry at the GGA-PBE level of DFT.

Output
relative energy among the computed polymorphs: 0 meV/atom
raw total energy: -3.19 eV/atom
V: 31.15 Å³ per atom
uncorrected formation energy: -0.736 eV/atom

abc: 4.2406 4.2406 27.7123
angles: 90.00 90.00 90.00
With the nearest neighbours (Å) after each atom.
Space group I-42d (No. 122)
One atom of each set of equivalent atoms:
Ba  0.0000  0.0000  0.0000 [4 per cell]  4 Cl 3.00
Ga  0.2346  0.2500  0.1250 [8 per cell]  4 Ga 2.91-3.09
Cl  0.0000  0.0000  0.5000 [4 per cell]  4 Ba 3.00


Record 3
Computed, not measured: crystalline Rb3YB2O6 at its relaxed geometry at the GGA-PBE level of DFT.

Output
raw total energy: -6.81 eV/atom
V: 16.70 Å³ per atom
uncorrected formation energy: -2.437 eV/atom

abc: 5.6626 5.6626 7.2177
angles: 90.00 90.00 120.00
With the nearest neighbours (Å) after each atom.
Space group P-3m1 (No. 164)
One atom of each set of equivalent atoms:
Rb  0.0000  0.0000  0.0000 [1 per cell]  6 O 2.93
Rb  0.3333  0.6667  0.7493 [2 per cell]  6 O 2.88, 1 B 3.15
Y  0.0000  0.0000  0.5000 [1 per cell]  6 O 2.31
B  0.3333  0.6667  0.3126 [2 per cell]  3 O 1.40
O  0.1906  0.3811  0.3125 [6 per cell]  1 B 1.40